1.
This record from Alexandria via LeMat-Bulk describes La2SmDy4Er after structural relaxation. The functional is PBE-GGA.

abc: 5.103 5.141 10.092
angles: 90.00 90.00 90.00
Fractional coordinates of all 8 atoms:
La 0.000 0.000 0.000
La 0.500 0.500 0.500
Sm 0.000 0.000 0.500
Dy 0.000 0.500 0.248
Dy 0.000 0.500 0.752
Dy 0.500 0.000 0.249
Dy 0.500 0.000 0.751
Er 0.500 0.500 0.000

Computed properties:
Calculated formation energy   0.3 eV/f.u.
Size of the total moment   0.00 μB per cell
Crystal system   orthorhombic
SG   No. 47

2.
This record from Alexandria via LeMat-Bulk describes ZrCdCl2 after structural relaxation. The functional is PBE-GGA.

abc: 7.048 7.048 5.611
angles: 113.31 113.31 25.79
Fractional coordinates of all 4 atoms:
Zr 0.000 0.000 0.000
Cd 0.500 0.500 0.500
Cl 0.336 0.336 0.837
Cl 0.664 0.664 0.163

Computed properties:
Size of the total moment   0.00 μB per cell
Crystal system   monoclinic
ΔE to the lowest computed polymorph   140 meV per atom
Uncorrected formation energy   -0.932 eV/atom
SG   No. 12